No. 1
10
Lattice="0.0000 5.5578 5.5578 5.5578 0.0000 5.5578 5.5578 5.5578 0.0000" Properties=species:S:1:pos:R:3 comment="Rb2WBr6N | Alexandria | GGA-PBE | relaxed" e_form_raw_ev_per_atom=-0.4120 magmom_total_mub_per_cell=5.0 energy_ev_per_cell=-37.37 spacegroup="No. 225" pbc="T T T"
Rb 2.7789 2.7789 2.7789
Rb 8.3367 8.3367 8.3367
W 0.0000 0.0000 0.0000
Br 5.5578 5.5578 2.5573
Br 5.5578 2.5573 5.5578
Br 8.5582 5.5578 5.5578
Br 2.5573 5.5578 5.5578
Br 5.5578 8.5582 5.5578
Br 5.5578 5.5578 8.5582
N 5.5578 5.5578 5.5578

No. 2
10
Lattice="-4.0118 4.0118 5.7147 4.0118 -4.0118 5.7147 4.0118 4.0118 -5.7147" Properties=species:S:1:pos:R:3 comment="Rb2ZrBr6N | Alexandria | GGA-PBE | relaxed" e_form_raw_ev_per_atom=-0.9055 magmom_total_mub_per_cell=3.0 energy_ev_per_cell=-37.90 spacegroup="No. 139" pbc="T T T"
Rb 4.0118 0.0000 2.8573
Rb 0.0000 4.0118 2.8573
Zr 0.0000 0.0000 0.0000
Br 0.0000 0.0000 2.6510
Br 1.8745 1.8745 0.0000
Br 2.1373 -2.1373 5.7147
Br -2.1373 2.1373 5.7147
Br 2.1373 2.1373 5.7147
Br 0.0000 0.0000 8.7783
N 0.0000 0.0000 5.7147

No. 3
20
Lattice="3.9038 -6.6224 0.0000 3.9038 6.6224 0.0000 -1.0468 0.0000 12.3621" Properties=species:S:1:pos:R:3 comment="ReBr3N | Alexandria | GGA-PBE | relaxed" relative_energy_ev_per_atom=0.000 e_form_raw_ev_per_atom=-0.0819 magmom_total_mub_per_cell=4.0 energy_ev_per_cell=-104.81 spacegroup="No. 15" pbc="T T T"
Re 0.2856 0.4928 1.8955
Re -0.2379 -0.4928 8.0765
Re 6.9985 0.4928 4.2856
Re 6.4751 -0.4928 10.4667
Br 0.3777 1.4215 6.3990
Br 0.8317 0.8801 9.9249
Br 2.3870 1.5818 1.2115
Br 0.9011 -1.4215 0.2179
Br 1.3551 -0.8801 3.7439
Br 1.8636 -1.5818 7.3925
Br 4.8971 1.5818 4.9696
Br 5.4056 0.8801 8.6183
Br 5.8596 1.4215 12.1442
Br 4.3737 -1.5818 11.1507
Br 5.9290 -0.8801 2.4372
Br 6.3830 -1.4215 5.9631
N 2.5403 4.6348 8.9798
N 3.6970 4.6348 9.5634
N 3.0637 -4.6348 2.7987
N 4.2204 -4.6348 3.3824

No. 4
4
Lattice="0.0000 2.7869 2.7869 2.7869 0.0000 2.7869 2.7869 2.7869 0.0000" Properties=species:S:1:pos:R:3 comment="ReBrN2 | Alexandria | GGA-PBE | relaxed" relative_energy_ev_per_atom=1.887 e_form_raw_ev_per_atom=2.1236 magmom_total_mub_per_cell=0.0 energy_ev_per_cell=-22.28 spacegroup="No. 225" pbc="T T T"
Re 0.0000 0.0000 0.0000
Br 2.7869 2.7869 2.7869
N 1.3934 1.3934 1.3934
N 4.1803 4.1803 4.1803

No. 5
4
Lattice="1.5165 0.8756 6.5520 -1.5165 0.8756 6.5520 0.0000 -1.7511 6.5520" Properties=species:S:1:pos:R:3 comment="ReBrN2 | Alexandria | GGA-PBE | relaxed" relative_energy_ev_per_atom=0.418 e_form_raw_ev_per_atom=0.6543 magmom_total_mub_per_cell=0.0 energy_ev_per_cell=-28.15 spacegroup="No. 166" pbc="T T T"
Re 0.0000 0.0000 0.0000
Br 0.0000 0.0000 9.8280
N 0.0000 0.0000 7.6969
N 0.0000 0.0000 11.9592

No. 6
28
Lattice="8.9860 -5.4300 0.0000 8.9860 5.4300 0.0000 -3.6654 0.0000 10.8767" Properties=species:S:1:pos:R:3 comment="Re3Br10N | Alexandria | GGA-PBE | relaxed" e_form_raw_ev_per_atom=-0.2786 magmom_total_mub_per_cell=2.0 energy_ev_per_cell=-132.60 spacegroup="No. 12" pbc="T T T"
Re 2.1078 1.2336 4.0007
Re 3.4166 0.0000 2.2385
Re 2.1078 -1.2336 4.0007
Re 12.1988 1.2336 6.8760
Re 10.8900 0.0000 8.6382
Re 12.1988 -1.2336 6.8760
Br 1.9148 2.8748 8.6300
Br 5.3007 3.7196 8.0106
Br 1.7911 0.0000 0.4173
Br 0.8127 0.0000 5.8473
Br 3.9484 1.7188 5.6852
Br 9.0059 3.7196 2.8661
Br 5.0152 0.0000 0.0770
Br 5.6633 0.0000 3.2521
Br 12.3918 2.8748 2.2467
Br 3.9484 -1.7188 5.6852
Br 10.3582 1.7188 5.1915
Br 1.9148 -2.8748 8.6300
Br 8.6433 0.0000 7.6246
Br 9.2914 0.0000 10.7997
Br 5.3007 -3.7196 8.0106
Br 10.3582 -1.7188 5.1915
Br 13.4939 0.0000 5.0294
Br 12.5155 0.0000 10.4594
Br 9.0059 -3.7196 2.8661
Br 12.3918 -2.8748 2.2467
N 8.9860 0.5569 0.0000
N 8.9860 -0.5569 0.0000

No. 7
8
Lattice="0.0000 4.2196 4.2196 4.2196 0.0000 4.2196 4.2196 4.2196 0.0000" Properties=species:S:1:pos:R:3 comment="ReBrN2 | Alexandria | GGA-PBE | relaxed" relative_energy_ev_per_atom=0.000 e_form_raw_ev_per_atom=0.2365 magmom_total_mub_per_cell=0.0 energy_ev_per_cell=-59.65 spacegroup="No. 227" pbc="T T T"
Re 1.0549 1.0549 1.0549
Re 7.3843 7.3843 7.3843
Br 3.1647 3.1647 3.1647
Br 5.2745 5.2745 5.2745
N 0.0000 0.0000 0.0000
N 2.1098 2.1098 0.0000
N 2.1098 0.0000 2.1098
N 0.0000 2.1098 2.1098

No. 8
5
Lattice="3.9579 0.0000 0.0000 0.0000 3.9579 0.0000 0.0000 0.0000 3.9579" Properties=species:S:1:pos:R:3 comment="ReBrN3 | Alexandria | GGA-PBE | relaxed" e_form_raw_ev_per_atom=1.1839 magmom_total_mub_per_cell=0.8 energy_ev_per_cell=-33.18 spacegroup="No. 221" pbc="T T T"
Re 0.0000 0.0000 0.0000
Br 1.9789 1.9789 1.9789
N 0.0000 0.0000 1.9789
N 0.0000 1.9789 0.0000
N 1.9789 0.0000 0.0000

No. 9
5
Lattice="4.5016 0.0000 0.0000 0.0000 4.5016 0.0000 0.0000 0.0000 4.5016" Properties=species:S:1:pos:R:3 comment="ReBr3N | Alexandria | GGA-PBE | relaxed" relative_energy_ev_per_atom=2.213 e_form_raw_ev_per_atom=2.1312 magmom_total_mub_per_cell=0.0 energy_ev_per_cell=-15.14 spacegroup="No. 221" pbc="T T T"
Re 0.0000 0.0000 0.0000
Br 0.0000 2.2508 2.2508
Br 2.2508 0.0000 2.2508
Br 2.2508 2.2508 0.0000
N 2.2508 2.2508 2.2508

No. 10
5
Lattice="3.7772 0.0000 0.0000 0.0000 3.7772 0.0000 0.0000 0.0000 3.7772" Properties=species:S:1:pos:R:3 comment="ReBrN3 | Alexandria | GGA-PBE | relaxed" e_form_raw_ev_per_atom=3.0996 magmom_total_mub_per_cell=0.0 energy_ev_per_cell=-23.60 spacegroup="No. 221" pbc="T T T"
Re 0.0000 0.0000 0.0000
Br 1.8886 1.8886 1.8886
N 0.0000 1.8886 1.8886
N 1.8886 0.0000 1.8886
N 1.8886 1.8886 0.0000

No. 11
5
Lattice="4.1512 0.0000 0.0000 0.0000 4.1512 0.0000 0.0000 0.0000 4.1512" Properties=species:S:1:pos:R:3 comment="Re3BrN | Alexandria | GGA-PBE | relaxed" relative_energy_ev_per_atom=0.000 e_form_raw_ev_per_atom=1.2974 magmom_total_mub_per_cell=0.0 energy_ev_per_cell=-40.86 spacegroup="No. 221" pbc="T T T"
Re 0.0000 0.0000 2.0756
Re 0.0000 2.0756 0.0000
Re 2.0756 0.0000 0.0000
Br 2.0756 2.0756 2.0756
N 0.0000 0.0000 0.0000

No. 12
5
Lattice="4.9804 0.0000 0.0000 0.0000 4.9804 0.0000 0.0000 0.0000 4.9804" Properties=species:S:1:pos:R:3 comment="ReBr3N | Alexandria | GGA-PBE | relaxed" relative_energy_ev_per_atom=1.815 e_form_raw_ev_per_atom=1.7333 magmom_total_mub_per_cell=0.0 energy_ev_per_cell=-17.13 spacegroup="No. 221" pbc="T T T"
Re 0.0000 0.0000 0.0000
Br 0.0000 0.0000 2.4902
Br 0.0000 2.4902 0.0000
Br 2.4902 0.0000 0.0000
N 2.4902 2.4902 2.4902